Here is crystalline ZrTeSeN2 at its relaxed geometry from the Alexandria database. Energies are from PBE-GGA.

The structure in extended XYZ format:
```
5
Lattice="4.122 0.000 0.000 0.000 4.122 0.000 0.000 0.000 6.519" Properties=species:S:1:pos:R:3 pbc="T T T"
Zr 0.000 0.000 0.000
Te 0.000 0.000 3.259
Se 2.061 2.061 3.259
N 0.000 2.061 0.000
N 2.061 0.000 0.000
```

- Total moment: 0.00 μB/atom
- Space-group type: P4/mmm (123)
- Energy above the lowest structure with this stoichiometry: 0.27 eV per formula unit